(1)
Rb2Tl2PO4: relaxed, GGA-PBE.

abc: 6.2636 6.2636 6.2636
angles: 96.44 116.35 116.35
Closest atoms and distances in Å follow each position.
Atoms (fractional coordinates):
1 Rb 0.5000 0.2500 0.7500  8 O 3.20, 4 Tl 3.37
2 Rb 0.5000 0.7500 0.2500  8 O 3.20, 4 Tl 3.37
3 Tl 0.0000 0.6714 0.6714  1 P 2.74, 1 Tl 2.86
4 Tl 0.0000 0.3286 0.3286  1 P 2.74, 1 Tl 2.86
5 O 0.3591 0.1796 0.1796  1 P 1.68
6 O 0.0000 0.8204 0.1796  1 P 1.68
7 P 0.0000 0.0000 0.0000  4 O 1.68
8 O 0.0000 0.1796 0.8204  1 P 1.68
9 O 0.6409 0.8204 0.8204  1 P 1.68

Calculated values
* formation energy without anion corrections: -90.37 kJ/mol of atoms
* DOS at the Fermi energy: 0.42 states/eV per atom
* spin magnetization: 0.00 μB per formula unit
* symmetry: I4/mmm, No. 139
* DFT total energy: -4.482 eV/atom

***

(2)
Pm3YSn2C: relaxed, GGA-PBE.

abc: 4.8443 4.9469 8.9100
angles: 106.12 105.77 90.00
Closest atoms and distances in Å follow each position.
Atoms (fractional coordinates):
1 C 0.0000 0.0000 0.0000  2 Y 2.42, 4 Pm 2.47-2.64
2 Sn 0.3615 0.3615 0.7230  7 Pm 3.29-3.48, 2 Y 3.36
3 Pm 0.0000 0.5000 0.0000  2 C 2.47
4 Pm 0.8390 0.8390 0.6779  1 C 2.64
5 Sn 0.6385 0.6385 0.2770  7 Pm 3.29-3.48, 2 Y 3.36
6 Y 0.5000 0.0000 0.0000  2 C 2.42
7 Pm 0.1610 0.1610 0.3221  1 C 2.64

Calculated values
* ΔH_f (0 K): -0.6274 eV per atom
* DOS at the Fermi energy: 0.13 states/eV per atom
* spin magnetization: 0.00 μB per formula unit
* symmetry: Immm, No. 71
* DFT total energy: -6.048 eV/atom

***

(3)
MgSb2Cl: relaxed, GGA-PBE.

abc: 3.8083 4.1410 8.4426
angles: 74.88 90.00 90.00
Closest atoms and distances in Å follow each position.
Atoms (fractional coordinates):
1 Mg 0.5000 0.5500 0.7751  2 Cl 2.42
2 Sb 0.0000 0.9382 0.9930  4 Sb 3.06, 4 Mg 3.32-3.34
3 Sb 0.5000 0.3595 0.1406  1 Mg 2.98, 4 Sb 3.06
4 Cl 0.0000 0.6523 0.5913  2 Mg 2.42

Calculated values
* relative energy among the computed polymorphs: 0 meV per atom
* formation energy without anion corrections: -51.60 kJ/mol of atoms
* DOS at the Fermi energy: 0.20 states/eV per atom
* spin magnetization: 0.00 μB per formula unit
* symmetry: Pm, No. 6
* DFT total energy: -3.456 eV/atom